{
  "formula": "ScSb2",
  "functional": "PBEsol",
  "state": "relaxed",
  "total_magnetization_mub_per_cell": 0.0,
  "e_tot_ev_per_atom": -5.8507,
  "lattice_angstrom": [[-1.494, -3.418, 0.552], [-0.343, -0.452, -3.728], [5.320, -0.017, 1.419]],
  "species": ["Sb", "Sb", "Sc"],
  "frac_coords": [[0.655, 0.655, 0.310], [0.345, 0.345, 0.690], [0.000, 0.000, 0.000]]
}

{
  "formula": "LaScSb2",
  "functional": "PBEsol",
  "state": "relaxed",
  "total_magnetization_mub_per_cell": 0.0,
  "e_tot_ev_per_atom": -6.3605,
  "lattice_angstrom": [[-1.178, 2.943, 2.981], [-2.775, -1.101, 3.167], [4.072, -1.328, 6.097]],
  "species": ["Sb", "Sb", "La", "Sc"],
  "frac_coords": [[0.240, 0.240, 0.279], [0.760, 0.760, 0.721], [0.000, 0.000, 0.000], [0.500, 0.500, 0.500]]
}

{
  "formula": "YWSe2",
  "functional": "PBEsol",
  "state": "relaxed",
  "relative_energy_ev_per_fu": 0.63,
  "total_magnetization_mub_per_cell": 0.0,
  "e_tot_ev_per_atom": -7.4459,
  "lattice_angstrom": [[3.241, 0.000, 0.000], [0.000, 3.241, 0.000], [0.000, 0.000, 6.772]],
  "species": ["Se", "Se", "Y", "W"],
  "frac_coords": [[0.000, 0.000, 0.777], [0.000, 0.000, 0.223], [0.500, 0.500, 0.500], [0.500, 0.500, 0.000]]
}

{
  "formula": "TaCrSe",
  "functional": "PBEsol",
  "state": "relaxed",
  "relative_energy_ev_per_fu": 0.26,
  "total_magnetization_mub_per_cell": 3.3,
  "e_tot_ev_per_atom": -8.7273,
  "lattice_angstrom": [[3.141, 0.000, 0.000], [0.000, 3.141, 0.000], [-1.571, -1.571, 4.912]],
  "species": ["Se", "Ta", "Cr"],
  "frac_coords": [[0.676, 0.676, 0.353], [0.319, 0.319, 0.638], [0.004, 0.004, 0.009]]
}

{
  "formula": "Al2Hg",
  "functional": "PBEsol",
  "state": "relaxed",
  "relative_energy_ev_per_fu": 0.00,
  "total_magnetization_mub_per_cell": 0.0,
  "e_tot_ev_per_atom": -2.8105,
  "e_form_mev_per_atom": 106,
  "lattice_angstrom": [[3.052, 0.000, 0.000], [1.526, 4.932, -0.070], [1.526, 1.529, 7.298]],
  "species": ["Al", "Al", "Al", "Al", "Hg", "Hg"],
  "frac_coords": [[0.663, 0.514, 0.159], [0.000, 0.500, 0.500], [0.337, 0.486, 0.841], [0.000, 0.000, 0.000], [0.667, 0.987, 0.680], [0.333, 0.013, 0.320]]
}

{
  "formula": "CeSmO2",
  "functional": "PBEsol",
  "state": "relaxed",
  "relative_energy_ev_per_fu": 0.00,
  "total_magnetization_mub_per_cell": 0.0,
  "e_tot_ev_per_atom": -8.4505,
  "lattice_angstrom": [[-0.988, -0.222, -3.306], [2.374, -0.269, -2.499], [0.279, -5.829, -1.500]],
  "species": ["O", "O", "Ce", "Sm"],
  "frac_coords": [[0.248, 0.248, 0.257], [0.752, 0.752, 0.743], [0.000, 0.000, 0.000], [0.500, 0.500, 0.500]]
}

{
  "formula": "TlZn2CrAu",
  "functional": "PBEsol",
  "state": "relaxed",
  "total_magnetization_mub_per_cell": 4.5,
  "e_tot_ev_per_atom": -3.4451,
  "e_form_mev_per_atom": 547,
  "lattice_angstrom": [[4.796, 0.000, 0.000], [0.000, 4.796, 0.000], [0.000, 0.000, 5.086]],
  "species": ["Tl", "Cr", "Au", "Zn", "Zn"],
  "frac_coords": [[0.500, 0.500, 0.500], [0.000, 0.000, 0.500], [0.000, 0.000, 0.000], [0.000, 0.500, 0.000], [0.500, 0.000, 0.000]]
}

{
  "formula": "Zn2FeOs",
  "functional": "PBEsol",
  "state": "relaxed",
  "relative_energy_ev_per_fu": 0.95,
  "total_magnetization_mub_per_cell": 3.1,
  "e_tot_ev_per_atom": -5.8149,
  "e_form_mev_per_atom": 271,
  "lattice_angstrom": [[3.080, 0.000, 0.000], [0.000, 3.080, 0.000], [0.000, 0.000, 5.423]],
  "species": ["Zn", "Zn", "Fe", "Os"],
  "frac_coords": [[0.000, 0.000, 0.758], [0.000, 0.000, 0.242], [0.500, 0.500, 0.000], [0.500, 0.500, 0.500]]
}

{
  "formula": "NdRh3C",
  "functional": "PBEsol",
  "state": "relaxed",
  "total_magnetization_mub_per_cell": 0.0,
  "e_tot_ev_per_atom": -8.2609,
  "e_form_mev_per_atom": -416,
  "lattice_angstrom": [[-3.227, 2.158, -1.527], [-0.225, -2.625, -3.234], [-2.634, -2.419, 2.147]],
  "species": ["Nd", "Rh", "Rh", "Rh", "C"],
  "frac_coords": [[0.000, 0.000, 0.000], [0.000, 0.500, 0.500], [0.500, 0.000, 0.500], [0.500, 0.500, 0.000], [0.500, 0.500, 0.500]]
}

{
  "formula": "TmSnRh",
  "functional": "PBEsol",
  "state": "relaxed",
  "total_magnetization_mub_per_cell": 0.0,
  "e_tot_ev_per_atom": -6.6958,
  "e_form_mev_per_atom": -930,
  "lattice_angstrom": [[-3.516, 1.022, -0.169], [-1.480, -5.830, -4.449], [-0.566, -0.722, 7.425]],
  "species": ["Sn", "Sn", "Sn", "Rh", "Rh", "Rh", "Tm", "Tm", "Tm"],
  "frac_coords": [[0.500, 0.000, 0.734], [0.500, 0.734, 0.000], [0.500, 0.266, 0.266], [0.500, 0.667, 0.333], [0.000, 0.000, 0.000], [0.500, 0.333, 0.667], [0.000, 0.000, 0.403], [0.000, 0.403, 0.000], [0.000, 0.597, 0.597]]
}

{
  "formula": "MgSeS3",
  "functional": "PBEsol",
  "state": "relaxed",
  "total_magnetization_mub_per_cell": 0.0,
  "e_tot_ev_per_atom": -3.5931,
  "lattice_angstrom": [[-3.030, -0.607, -3.557], [3.282, -2.395, -2.387], [-1.500, -4.013, 1.963]],
  "species": ["Se", "S", "S", "S", "Mg"],
  "frac_coords": [[0.000, 0.000, 0.000], [0.000, 0.000, 0.500], [0.500, 0.000, 0.000], [0.000, 0.500, 0.000], [0.500, 0.500, 0.500]]
}

{
  "formula": "KZrW",
  "functional": "PBEsol",
  "state": "relaxed",
  "total_magnetization_mub_per_cell": 2.0,
  "e_tot_ev_per_atom": -5.0830,
  "e_form_mev_per_atom": 2927,
  "lattice_angstrom": [[-2.479, -1.115, -3.787], [-2.825, -3.707, 0.072], [-4.624, 0.592, -0.016]],
  "species": ["Zr", "W", "K"],
  "frac_coords": [[0.500, 0.500, 0.500], [0.000, 0.000, 0.000], [0.250, 0.250, 0.250]]
}

Q: Number 11 is which compound?
A: MgSeS3